No. 1
This record from Alexandria via LeMat-Bulk describes a geometry-optimized Tl2ReSe structure. The functional is PBE-GGA.

Unit cell a=6.048 b=6.048 c=6.048 alpha=139.27 beta=139.27 gamma=58.97
Each line ends with the local moment (μB).
Positions (direct):
Se 0.750 0.250 0.500  0.05
Tl 0.500 0.500 0.000  0.00
Tl 0.000 0.000 0.000  0.00
Re 0.250 0.750 0.500  2.62

Values from the calculation:
* formation energy without anion corrections: 1.033 eV/atom
* M_tot: 3.091 μB/cell
* space group: I4/mmm, No. 139



No. 2
This record from Alexandria via LeMat-Bulk describes a geometry-optimized Tl2ReSe structure. The functional is PBE-GGA.

Unit cell a=3.205 b=4.655 c=6.884 alpha=70.26 beta=90.00 gamma=90.00
Positions (direct):
Tl 0.000 0.946 0.983
Tl 0.500 0.257 0.361
Se 0.500 0.575 0.724
Re 0.000 0.722 0.432

Values from the calculation:
* formation energy without anion corrections: 0.408 eV/atom
* M_tot: 0.000 μB/cell
* space group: Amm2, No. 38



No. 3
This record from Alexandria via LeMat-Bulk describes a geometry-optimized Tl2ReSe structure. The functional is PBE-GGA.

Unit cell a=2.848 b=2.848 c=12.222 alpha=90.00 beta=90.00 gamma=105.29
Positions (direct):
Re 0.500 0.500 0.250
Se 0.500 0.500 0.750
Tl 0.000 0.000 0.034
Tl 0.000 0.000 0.466

Values from the calculation:
* formation energy without anion corrections: 0.836 eV/atom
* M_tot: 0.000 μB/cell
* space group: Cmmm, No. 65